Record 1
This record from the Alexandria database describes a relaxed structure of PmYTmZn. The functional is PBE.

Properties
calculated formation energy = 0.0251 eV per atom
ΔE to the lowest computed polymorph = 0.1939 eV per atom
N(E_F) = 4.9 states/eV/cell

Unit cell a=5.364 b=5.364 c=5.364 alpha=60.00 beta=60.00 gamma=60.00
Positions (direct):
Pm  0.000  0.000  0.000
Y  0.500  0.500  0.500
Tm  0.750  0.750  0.750
Zn  0.250  0.250  0.250

---

Record 2
This record from the Alexandria database describes a relaxed structure of Pm2Y3Tm6Zr. The functional is PBE.

Properties
calculated formation energy = 0.0542 eV per atom
N(E_F) = 16.0 states/eV/cell

Unit cell a=6.073 b=6.073 c=11.605 alpha=94.99 beta=94.99 gamma=119.94
Positions (direct):
Pm  0.167  0.833  0.000
Pm  0.833  0.167  0.000
Y  0.000  0.000  0.500
Y  0.334  0.666  0.500
Y  0.666  0.334  0.500
Tm  0.092  0.418  0.754
Tm  0.256  0.256  0.245
Tm  0.418  0.092  0.754
Tm  0.582  0.908  0.246
Tm  0.744  0.744  0.755
Tm  0.908  0.582  0.246
Zr  0.500  0.500  0.000